# 1
12
Lattice="0.0236 1.0992 3.3314 -1.1424 -8.0383 4.5076 10.8650 -3.6958 2.9895" Properties=species:S:1:pos:R:3 comment="GGA-PBE Ho5Tm7, optimized geometry" de_polymorph_mev_per_atom=0.0 formation_enthalpy_0k_ev_per_atom=0.006 dos_ef_per_ev_fu=16.77 final_energy_ev_per_cell=-54.113 vol_a3_per_cell=362.4 pbc="T T T"
Tm 2.6886 -0.7491 2.0752
Tm 1.9214 -6.4784 3.9711
Tm 7.0577 -9.8858 8.7533
Tm 10.4818 -6.0074 5.6021
Tm 4.8731 -5.3174 5.4143
Tm -0.7355 -4.6274 5.2264
Tm 7.8249 -4.1564 6.8574
Ho 7.4299 -7.5703 6.1395
Ho 4.4929 -7.6280 8.0265
Ho 2.3164 -3.0645 4.6890
Ho 0.0000 0.0000 0.0000
Ho 5.2534 -3.0069 2.8020

# 2
8
Lattice="4.8974 0.0000 1.4457 2.2353 4.3575 1.4457 0.0465 0.0284 8.8608" Properties=species:S:1:pos:R:3 comment="GGA-PBE Tb3DyAu4, optimized geometry" de_polymorph_mev_per_atom=0.0 formation_enthalpy_0k_ev_per_atom=-0.853 dos_ef_per_ev_fu=3.00 final_energy_ev_per_cell=-38.428 vol_a3_per_cell=188.7 pbc="T T T"
Au 4.4669 2.7289 2.9042
Au 2.7124 1.6570 8.8479
Au 6.2612 3.8251 5.8439
Au 0.9180 0.5608 5.9083
Dy 0.0000 0.0000 0.0000
Tb 1.7957 1.0970 2.9350
Tb 3.5896 2.1930 5.8761
Tb 5.3835 3.2889 8.8172

# 3
5
Lattice="4.4400 0.0000 0.0000 0.0000 4.8830 0.0000 0.0000 0.0000 4.4400" Properties=species:S:1:pos:R:3 comment="GGA-PBE MnCdW2Au, optimized geometry" formation_enthalpy_0k_ev_per_atom=1.327 dos_ef_per_ev_fu=4.90 final_energy_ev_per_cell=-32.634 vol_a3_per_cell=96.3 pbc="T T T"
Au 2.2200 2.4415 2.2200
W 0.0000 0.0000 2.2200
W 2.2200 0.0000 0.0000
Mn 0.0000 0.0000 0.0000
Cd 0.0000 2.4415 0.0000

# 4
4
Lattice="2.5964 -4.0248 2.4295 -1.6885 -1.7912 4.7732 -2.3060 -4.8345 0.3914" Properties=species:S:1:pos:R:3 comment="GGA-PBE BaSc2Ti, optimized geometry" de_polymorph_mev_per_atom=151.2 formation_enthalpy_0k_ev_per_atom=0.547 dos_ef_per_ev_fu=4.85 final_energy_ev_per_cell=-20.292 vol_a3_per_cell=109.5 pbc="T T T"
Sc -0.3495 -2.6626 1.8985
Sc -1.0485 -7.9878 5.6956
Ba -0.6990 -5.3252 3.7970
Ti 0.0000 0.0000 0.0000

# 5
6
Lattice="0.0000 3.7550 3.7550 3.7550 0.0000 3.7550 3.7550 3.7550 0.0000" Properties=species:S:1:pos:R:3 comment="GGA-PBE SrNiIr4, optimized geometry" formation_enthalpy_0k_ev_per_atom=0.282 dos_ef_per_ev_fu=11.88 final_energy_ev_per_cell=-41.217 vol_a3_per_cell=105.9 pbc="T T T"
Sr 0.0000 0.0000 0.0000
Ir 4.6892 4.6892 2.8208
Ir 2.8208 2.8208 2.8208
Ir 4.6892 2.8208 4.6892
Ir 2.8208 4.6892 4.6892
Ni 5.6325 5.6325 5.6325

# 6
4
Lattice="-0.4623 1.1031 3.3887 0.5486 -2.2871 2.7287 5.2529 -0.5086 0.8773" Properties=species:S:1:pos:R:3 comment="GGA-PBE InC2N, optimized geometry" de_polymorph_mev_per_atom=367.1 dos_ef_per_ev_fu=1.26 raw_formation_energy_ev_per_atom=0.862 final_energy_ev_per_cell=-26.063 vol_a3_per_cell=55.3 pbc="T T T"
In -0.1729 0.5217 1.8953
N 2.6845 -0.2842 0.6396
C 1.0186 0.4554 3.9867
C 4.4368 -2.2078 3.4099

Please write out number 1 again, unchanged.
12
Lattice="0.0236 1.0992 3.3314 -1.1424 -8.0383 4.5076 10.8650 -3.6958 2.9895" Properties=species:S:1:pos:R:3 comment="GGA-PBE Ho5Tm7, optimized geometry" de_polymorph_mev_per_atom=0.0 formation_enthalpy_0k_ev_per_atom=0.006 dos_ef_per_ev_fu=16.77 final_energy_ev_per_cell=-54.113 vol_a3_per_cell=362.4 pbc="T T T"
Tm 2.6886 -0.7491 2.0752
Tm 1.9214 -6.4784 3.9711
Tm 7.0577 -9.8858 8.7533
Tm 10.4818 -6.0074 5.6021
Tm 4.8731 -5.3174 5.4143
Tm -0.7355 -4.6274 5.2264
Tm 7.8249 -4.1564 6.8574
Ho 7.4299 -7.5703 6.1395
Ho 4.4929 -7.6280 8.0265
Ho 2.3164 -3.0645 4.6890
Ho 0.0000 0.0000 0.0000
Ho 5.2534 -3.0069 2.8020